Computed, not measured: a geometry-optimized Na2ZnP2O7 structure at the PBE level of DFT.

Cell and atoms, written as POSCAR:
```
Na2ZnP2O7
1.0
7.6750 0.0000 0.0000
0.0000 7.6750 0.0000
0.0000 0.0000 10.1383
Na Zn P O
8 4 8 28
direct
0.1432 0.1432 0.0000
0.1920 0.1920 0.5000
0.3080 0.6920 0.0000
0.3568 0.6432 0.5000
0.6432 0.3568 0.5000
0.6920 0.3080 0.0000
0.8080 0.8080 0.5000
0.8568 0.8568 0.0000
0.0000 0.5000 0.2500
0.0000 0.5000 0.7500
0.5000 0.0000 0.2500
0.5000 0.0000 0.7500
0.1396 0.8604 0.2921
0.1396 0.8604 0.7079
0.3604 0.3604 0.2079
0.3604 0.3604 0.7921
0.6396 0.6396 0.2079
0.6396 0.6396 0.7921
0.8604 0.1396 0.2921
0.8604 0.1396 0.7079
0.0000 0.0000 0.3508
0.0000 0.0000 0.6492
0.0814 0.6904 0.3589
0.0814 0.6904 0.6411
0.1371 0.8629 0.1432
0.1371 0.8629 0.8568
0.1904 0.4186 0.1411
0.1904 0.4186 0.8589
0.3096 0.9186 0.3589
0.3096 0.9186 0.6411
0.3629 0.3629 0.3568
0.3629 0.3629 0.6432
0.4186 0.1904 0.1411
0.4186 0.1904 0.8589
0.5000 0.5000 0.1492
0.5000 0.5000 0.8508
0.5814 0.8096 0.1411
0.5814 0.8096 0.8589
0.6371 0.6371 0.3568
0.6371 0.6371 0.6432
0.6904 0.0814 0.3589
0.6904 0.0814 0.6411
0.8096 0.5814 0.1411
0.8096 0.5814 0.8589
0.8629 0.1371 0.1432
0.8629 0.1371 0.8568
0.9186 0.3096 0.3589
0.9186 0.3096 0.6411
```

Properties
crystal system = tetragonal
total energy = -0.459 Ry per atom